Density functional theory data (GGA-PBE) for a relaxed structure of BaCaC2O6.

Calculated values
The electronic total energy comes out at -7.471 eV/atom. The spin magnetization comes out at 0.00 μB/atom. The raw formation energy is -2259 meV per atom.

abc: 6.6306 5.3001 8.2540
angles: 90.00 105.97 90.00
Space group P2_1/m (No. 11)
Unique sites:
Ba 0.2134 0.2500 0.3545 [2 per cell]
Ca 0.3015 0.2500 0.8778 [2 per cell]
C 0.2477 0.7500 0.1151 [2 per cell]
C 0.2512 0.7500 0.6047 [2 per cell]
O 0.0655 0.7500 0.1394 [2 per cell]
O 0.1906 0.5380 0.6561 [4 per cell]
O 0.3476 0.5391 0.1058 [4 per cell]
O 0.3599 0.7500 0.4968 [2 per cell]

Density functional theory data (GGA-PBE) for a relaxed structure of NbRhPbN2.

Calculated values
The electronic total energy comes out at -5.468 eV/atom. The spin magnetization comes out at 0.00 μB/atom. The raw formation energy is 2088 meV per atom.

abc: 4.1597 4.1597 5.0773
angles: 90.00 90.00 90.00
Space group P4/mmm (No. 123)
Unique sites:
Nb 0.0000 0.0000 0.0000 [1 per cell]
Rh 0.5000 0.5000 0.0000 [1 per cell]
Pb 0.5000 0.5000 0.5000 [1 per cell]
N 0.0000 0.5000 0.5000 [2 per cell]

Density functional theory data (GGA-PBE) for a relaxed structure of LaTe3P.

Calculated values
The electronic total energy comes out at -4.404 eV/atom. The spin magnetization comes out at 0.00 μB/atom. The raw formation energy is -451 meV per atom.

abc: 5.2987 5.2987 5.2987
angles: 90.00 90.00 90.00
Space group Pm-3m (No. 221)
Unique sites:
La 0.0000 0.0000 0.0000 [1 per cell]
Te 0.0000 0.5000 0.5000 [3 per cell]
P 0.5000 0.5000 0.5000 [1 per cell]

Density functional theory data (GGA-PBE) for a relaxed structure of Dy3HoCu2.

Calculated values
The electronic total energy comes out at -4.413 eV/atom. The spin magnetization comes out at 0.00 μB/atom. For the formation energy, the calculation gives 16.0 meV/atom.

abc: 6.7748 13.4020 7.1525
angles: 90.00 90.00 90.00
Space group Ibam (No. 72)
Unique sites:
Dy 0.0000 0.0000 0.2500 [4 per cell]
Dy 0.0000 0.2661 0.2500 [8 per cell]
Ho 0.0000 0.5000 0.0000 [4 per cell]
Cu 0.2082 0.1411 0.0000 [8 per cell]

Density functional theory data (GGA-PBE) for a relaxed structure of CsHoAuS2.

Calculated values
The electronic total energy comes out at -4.555 eV/atom. The spin magnetization comes out at 0.00 μB/atom. The raw formation energy is -1162 meV per atom.

abc: 8.0043 5.0756 7.7022
angles: 90.00 99.64 90.00
Space group P2/c (No. 13)
Unique sites:
Cs 0.0000 0.1472 0.2500 [2 per cell]
Ho 0.5000 0.4947 0.7500 [2 per cell]
Au 0.5000 0.0000 0.0000 [2 per cell]
S 0.2809 0.3553 0.9634 [4 per cell]

Density functional theory data (GGA-PBE) for a relaxed structure of CaTe2Se.

Calculated values
The electronic total energy comes out at -2.893 eV/atom. The spin magnetization comes out at 0.00 μB/atom. The raw formation energy is 49 meV per atom.

abc: 4.0752 4.0752 29.0349
angles: 90.00 90.00 120.00
Space group R-3m (No. 166, hexagonal axes)
Unique sites:
Ca 0.0000 0.0000 0.0000 [3 per cell]
Te 0.0000 0.0000 0.1056 [6 per cell]
Se 0.0000 0.0000 0.5000 [3 per cell]

Density functional theory data (GGA-PBE) for a relaxed structure of ScTiNb4.

Calculated values
The electronic total energy comes out at -8.896 eV/atom. The spin magnetization comes out at 0.35 μB/atom. For the formation energy, the calculation gives 188.6 meV/atom.

abc: 7.8051 7.8051 7.8051
angles: 90.00 90.00 90.00
Space group F-43m (No. 216)
Unique sites:
Sc 0.0000 0.0000 0.0000 [4 per cell]
Ti 0.2500 0.2500 0.7500 [4 per cell]
Nb 0.1250 0.1250 0.3750 [16 per cell]

Density functional theory data (GGA-PBE) for a relaxed structure of NiSe3.

Calculated values
The electronic total energy comes out at -3.333 eV/atom. The spin magnetization comes out at 0.11 μB/atom. The raw formation energy is 726 meV per atom.

abc: 4.1907 4.1907 4.1907
angles: 90.00 90.00 90.00
Space group Pm-3m (No. 221)
Unique sites:
Ni 0.0000 0.0000 0.0000 [1 per cell]
Se 0.0000 0.5000 0.5000 [3 per cell]

Which formula does entry 3 have? LaTe3P